[1]
A plane-wave DFT calculation with GGA-PBE was carried out for a geometry-optimized MoAu structure.

Calculated values
ΔH_f (0 K)	30.4	kJ/mol of atoms
DOS at the Fermi energy	0.5556	states/eV per atom
space-group type	No. 128
calculated density	12.735	g/cm³
calculated total energy	-6.74	eV/atom

POSCAR file:
```
MoAu
1.0
8.479 0.000 0.000
0.000 8.479 0.000
0.000 0.000 4.250
Mo Au
8 8
direct
0.010 0.359 0.000
0.141 0.490 0.500
0.359 0.990 0.000
0.490 0.859 0.500
0.510 0.141 0.500
0.641 0.010 0.000
0.859 0.510 0.500
0.990 0.641 0.000
0.161 0.829 0.500
0.171 0.161 0.500
0.329 0.661 0.000
0.339 0.329 0.000
0.661 0.671 0.000
0.671 0.339 0.000
0.829 0.839 0.500
0.839 0.171 0.500
```



[2]
A plane-wave DFT calculation with GGA-PBE was carried out for a geometry-optimized Mo2Au structure.

Calculated values
ΔH_f (0 K)	41.1	kJ/mol of atoms
DOS at the Fermi energy	0.8658	states/eV per atom
polymorph energy (0 for the lowest one)	0.207	eV/atom
space-group type	No. 227
calculated density	12.642	g/cm³
calculated total energy	-7.89	eV/atom

POSCAR file:
```
Mo2Au
1.0
0.000 3.710 3.710
3.710 0.000 3.710
3.710 3.710 0.000
Mo Au
4 2
direct
0.000 0.000 0.000
0.000 0.000 0.500
0.000 0.500 0.000
0.500 0.000 0.000
0.375 0.375 0.375
0.625 0.625 0.625
```



[3]
A plane-wave DFT calculation with GGA-PBE was carried out for a geometry-optimized Mo2AuN structure.

Calculated values
formation energy from raw total energies	1.1	eV per formula unit
DOS at the Fermi energy	0.7405	states/eV per atom
space-group type	No. 166
calculated density	11.422	g/cm³
calculated total energy	-8.03	eV/atom

POSCAR file:
```
Mo2AuN
1.0
2.824 0.000 0.000
-1.412 2.446 0.000
0.000 0.000 25.443
Mo Au N
6 3 3
direct
0.000 0.000 0.112
0.000 0.000 0.888
0.333 0.667 0.555
0.333 0.667 0.778
0.667 0.333 0.222
0.667 0.333 0.445
0.000 0.000 0.000
0.333 0.667 0.667
0.667 0.333 0.333
0.000 0.000 0.500
0.333 0.667 0.167
0.667 0.333 0.833
```